ZrReRh | GGA-PBE | optimized geometry

Summary:
Its space group is P-6m2. For the magnetic moment, the calculation gives 0.0 μB per formula unit. The total energy is -9.546 eV per atom. The formation energy comes out at -0.096 eV per atom. As for the energy above the most stable polymorph in this dataset: 10.7 kJ per mole of atoms. The value obtained for the calculated volume is 16.96 Å³/atom.

POSCAR file:
```
ZrReRh
1.0
-0.6120 4.2607 1.5309
1.0139 -3.3562 2.9291
2.7438 0.5209 -0.3529
Re Zr Rh
1 1 1
Cartesian
0.4576 0.0869 -0.0589
1.7586 2.0689 1.7618
0.9295 -0.7303 2.4042
```


Zr4ReRh | GGA-PBE | optimized geometry

Summary:
Its space group is P4/mmm. For the magnetic moment, the calculation gives 0.0 μB per formula unit. The total energy is -9.344 eV per atom. The formation energy comes out at -0.346 eV per atom. As for the energy above the most stable polymorph in this dataset: 0.0 kJ per mole of atoms. The value obtained for the calculated volume is 19.53 Å³/atom.

POSCAR file:
```
Zr4ReRh
1.0
-2.1124 2.2640 1.2733
-2.4240 -2.3081 0.0826
2.9143 -2.7150 9.6621
Zr Rh Re
4 1 1
Cartesian
0.2014 -2.3225 8.8649
-2.6326 -1.8173 7.6666
1.0105 -0.9417 3.3514
-1.8235 -0.4365 2.1531
-0.8111 -1.3795 5.5090
0.0000 0.0000 0.0000
```


Zr3ReRh2 | GGA-PBE | optimized geometry

Summary:
Its space group is P4/mmm. For the magnetic moment, the calculation gives 0.0 μB per formula unit. The total energy is -9.443 eV per atom. The formation energy comes out at -0.643 eV per atom. The value obtained for the calculated volume is 18.02 Å³/atom.

POSCAR file:
```
Zr3ReRh2
1.0
-2.5658 2.0972 -0.3019
-2.0362 -2.5717 -0.5594
-1.7192 -0.7236 9.5849
Rh Zr Re
2 3 1
Cartesian
-3.7433 -0.8443 7.6100
-2.5780 -0.3538 1.1137
-1.1410 -0.4802 6.3611
-0.5783 -0.2434 3.2238
0.0000 0.0000 0.0000
-3.1606 -0.5991 4.3618
```


Which of these has the lowest total energy? ZrReRh


Which formula does entry 1 have? ZrReRh


Which value of calculated volume does entry 1 give? 16.96 Å³/atom